No. 1
This record from the Alexandria database describes an optimized crystal structure of Li2ZnP. The functional is PBE-GGA.

a b c (Å): 3.7995 3.7995 9.1239
angles (deg): 77.98 77.98 90.00
Last column: nearest neighbours and their distance in Å.
Fractional positions:
P  0.5000  0.5000  0.0000  4 Li 2.51, 4 Zn 2.69
P  0.2500  0.7500  0.5000  4 Li 2.51, 4 Zn 2.69
Zn  0.0000  0.0000  0.0000  4 Li 2.61, 4 P 2.69
Zn  0.7500  0.2500  0.5000  4 Li 2.61, 4 P 2.69
Li  0.5893  0.1250  0.2500  2 Li 2.50, 2 P 2.51, 2 Zn 2.61
Li  0.1607  0.6250  0.2500  2 Li 2.50, 2 P 2.51, 2 Zn 2.61
Li  0.3750  0.4107  0.7500  2 Li 2.50, 2 P 2.51, 2 Zn 2.61
Li  0.8750  0.8393  0.7500  2 Li 2.50, 2 P 2.51, 2 Zn 2.61

Values from the calculation:
Formation energy from the elements in eV/atom: -0.12
Excess energy over the best structure of this formula in the dataset in meV per atom: 275.9

***

No. 2
This record from the Alexandria database describes an optimized crystal structure of CdTcO2F. The functional is PBE-GGA.

a b c (Å): 4.2038 4.2038 4.2619
angles (deg): 90.00 90.00 90.00
Last column: nearest neighbours and their distance in Å.
Fractional positions:
F  0.0000  0.0000  0.5000  2 Cd 2.13
Tc  0.5000  0.5000  0.5000  4 F 2.97, 8 O 2.99
O  0.0000  0.5000  0.0000  2 Cd 2.10
O  0.5000  0.0000  0.0000  2 Cd 2.10
Cd  0.0000  0.0000  0.0000  4 O 2.10, 2 F 2.13

Values from the calculation:
Formation energy (no corrections) in eV/atom: 0.009

***

No. 3
This record from the Alexandria database describes an optimized crystal structure of Pm5Sm2In5. The functional is PBE-GGA.

a b c (Å): 5.2805 6.4293 12.2315
angles (deg): 107.30 90.00 114.25
Last column: nearest neighbours and their distance in Å.
Fractional positions:
Pm  0.5000  0.0000  0.5000  8 In 3.45-3.70, 2 Pm 3.57
Pm  0.6544  0.3087  0.0027  3 In 3.20-3.25, 3 Pm 3.43-3.48
Pm  0.6332  0.2663  0.2759  5 In 3.21-3.42, 2 Pm 3.43-3.57, 2 Sm 3.48
Pm  0.3668  0.7337  0.7241  5 In 3.21-3.42, 2 Pm 3.43-3.57, 2 Sm 3.48
Pm  0.3456  0.6913  0.9973  3 In 3.20-3.25, 3 Pm 3.43-3.48
Sm  0.0693  0.1386  0.7572  4 In 3.22-3.32, 3 Pm 3.48-3.59
Sm  0.9307  0.8614  0.2428  4 In 3.22-3.32, 3 Pm 3.48-3.59
In  0.1736  0.3473  0.4627  3 In 3.15-3.38, 1 Sm 3.22, 5 Pm 3.26-3.45
In  0.7343  0.4686  0.7723  4 Pm 3.21-3.56, 2 Sm 3.24, 2 In 3.38-3.44
In  0.2657  0.5314  0.2277  4 Pm 3.21-3.56, 2 Sm 3.24, 2 In 3.38-3.44
In  0.8264  0.6527  0.5373  3 In 3.15-3.38, 1 Sm 3.22, 5 Pm 3.26-3.45
In  0.0000  0.0000  0.0000  4 Pm 3.20, 2 Sm 3.32, 2 In 3.44

Values from the calculation:
Formation energy from the elements in eV/atom: -0.32